Model w:
{
  "formula": "Pr5Sn2Hg2",
  "functional": "GGA-PBE",
  "state": "relaxed",
  "lattice": [[8.218, -4.151, 0.000], [8.218, 4.151, 0.000], [0.000, 0.000, 8.335]],
  "species": ["Pr", "Pr", "Pr", "Pr", "Pr", "Pr", "Pr", "Pr", "Pr", "Pr", "Sn", "Sn", "Sn", "Sn", "Hg", "Hg", "Hg", "Hg"],
  "frac_coords": [[0.000, 0.000, 0.000], [0.045, 0.680, 0.671], [0.180, 0.545, 0.171], [0.320, 0.955, 0.671], [0.455, 0.820, 0.171], [0.500, 0.500, 0.500], [0.545, 0.180, 0.829], [0.680, 0.045, 0.329], [0.820, 0.455, 0.829], [0.955, 0.320, 0.329], [0.125, 0.875, 0.372], [0.375, 0.625, 0.872], [0.625, 0.375, 0.128], [0.875, 0.125, 0.628], [0.209, 0.209, 0.000], [0.291, 0.291, 0.500], [0.709, 0.709, 0.500], [0.791, 0.791, 0.000]],
  "dos_at_fermi_per_ev_atom": 1.15
}


Model x:
{
  "formula": "Pr5Sn2Hg2",
  "functional": "GGA-PBE",
  "state": "relaxed",
  "lattice": [[8.247, -4.171, 0.000], [8.247, 4.171, 0.000], [0.000, 0.000, 8.327]],
  "species": ["Pr", "Pr", "Pr", "Pr", "Pr", "Pr", "Pr", "Pr", "Pr", "Pr", "Sn", "Sn", "Sn", "Sn", "Hg", "Hg", "Hg", "Hg"],
  "frac_coords": [[0.000, 0.000, 0.000], [0.030, 0.687, 0.668], [0.187, 0.530, 0.168], [0.313, 0.970, 0.668], [0.470, 0.813, 0.168], [0.500, 0.500, 0.500], [0.530, 0.187, 0.832], [0.687, 0.030, 0.332], [0.813, 0.470, 0.832], [0.970, 0.313, 0.332], [0.204, 0.204, 0.000], [0.296, 0.296, 0.500], [0.704, 0.704, 0.500], [0.796, 0.796, 0.000], [0.128, 0.872, 0.370], [0.372, 0.628, 0.870], [0.628, 0.372, 0.130], [0.872, 0.128, 0.630]],
  "dos_at_fermi_per_ev_atom": 1.04
}


The structure with the greatest stability is model w.


Model w:
{
  "formula": "Pr2Sn4Hg",
  "functional": "GGA-PBE",
  "state": "relaxed",
  "lattice": [[0.000, 4.650, 4.762], [4.642, 0.000, 4.762], [4.642, 4.650, 0.000]],
  "species": ["Pr", "Pr", "Sn", "Sn", "Sn", "Sn", "Hg"],
  "frac_coords": [[0.000, 0.000, 0.500], [0.500, 0.500, 0.000], [0.000, 0.500, 0.000], [0.000, 0.500, 0.500], [0.500, 0.000, 0.000], [0.500, 0.000, 0.500], [0.000, 0.000, 0.000]],
  "dos_at_fermi_per_ev_atom": 0.56
}


Model x:
{
  "formula": "Pr2Sn4Hg",
  "functional": "GGA-PBE",
  "state": "relaxed",
  "lattice": [[4.597, 0.000, 0.000], [0.000, 4.597, 0.000], [0.000, 0.000, 9.623]],
  "species": ["Pr", "Pr", "Sn", "Sn", "Sn", "Sn", "Hg"],
  "frac_coords": [[0.000, 0.500, 0.233], [0.500, 0.000, 0.767], [0.000, 0.000, 0.500], [0.000, 0.500, 0.802], [0.500, 0.000, 0.198], [0.500, 0.500, 0.500], [0.500, 0.500, 0.000]],
  "dos_at_fermi_per_ev_atom": 0.57
}


The structure with the greatest stability is model w.


Model w:
{
  "formula": "Pr3Sn2Hg",
  "functional": "GGA-PBE",
  "state": "relaxed",
  "lattice": [[8.502, -3.287, 0.000], [8.502, 3.287, 0.000], [-1.468, 0.000, 6.312]],
  "species": ["Pr", "Pr", "Pr", "Pr", "Pr", "Pr", "Sn", "Sn", "Sn", "Sn", "Hg", "Hg"],
  "frac_coords": [[0.151, 0.849, 0.750], [0.218, 0.437, 0.395], [0.437, 0.218, 0.895], [0.563, 0.782, 0.105], [0.782, 0.563, 0.605], [0.849, 0.151, 0.250], [0.055, 0.261, 0.048], [0.261, 0.055, 0.548], [0.739, 0.945, 0.452], [0.945, 0.739, 0.952], [0.363, 0.637, 0.250], [0.637, 0.363, 0.750]],
  "dos_at_fermi_per_ev_atom": 0.71
}


Model x:
{
  "formula": "Pr3Sn2Hg",
  "functional": "GGA-PBE",
  "state": "relaxed",
  "lattice": [[12.800, 0.000, 0.000], [0.000, 4.758, 0.000], [0.000, 0.000, 12.180]],
  "species": ["Pr", "Pr", "Pr", "Pr", "Pr", "Pr", "Pr", "Pr", "Pr", "Pr", "Pr", "Pr", "Sn", "Sn", "Sn", "Sn", "Sn", "Sn", "Sn", "Sn", "Hg", "Hg", "Hg", "Hg"],
  "frac_coords": [[0.043, 0.250, 0.123], [0.132, 0.750, 0.568], [0.206, 0.250, 0.812], [0.294, 0.750, 0.312], [0.368, 0.250, 0.068], [0.457, 0.750, 0.623], [0.543, 0.250, 0.377], [0.632, 0.750, 0.932], [0.706, 0.250, 0.688], [0.794, 0.750, 0.188], [0.868, 0.250, 0.432], [0.957, 0.750, 0.877], [0.010, 0.750, 0.320], [0.185, 0.750, 0.023], [0.315, 0.250, 0.523], [0.490, 0.250, 0.820], [0.510, 0.750, 0.180], [0.685, 0.750, 0.477], [0.815, 0.250, 0.977], [0.990, 0.250, 0.680], [0.145, 0.250, 0.356], [0.355, 0.750, 0.856], [0.645, 0.250, 0.144], [0.855, 0.750, 0.644]],
  "dos_at_fermi_per_ev_atom": 0.97
}


The structure with the greatest stability is model x.